a.
First-principles (PBE-GGA) data for a relaxed structure of NaBr4, as listed in Alexandria via LeMat-Bulk.

a b c (Å): 5.596 5.596 5.596
angles (deg): 90.00 90.00 90.00
Space group Pm-3m (No. 221)
Inequivalent atoms, fractional coordinates:
Na 0.000 0.000 0.000 (multiplicity 1)
Br 0.000 0.000 0.500 (multiplicity 3)
Br 0.500 0.500 0.500 (multiplicity 1)

As for the total magnetization: 3.03 μB per cell. The density of states at the Fermi level comes out at 6.691 states/eV/cell. For the theoretical density, the calculation gives 3.2 g/cm³.

***

b.
First-principles (PBE-GGA) data for a relaxed structure of NaBr4, as listed in Alexandria via LeMat-Bulk.

a b c (Å): 4.4838 4.4838 10.3271
angles (deg): 90.00 90.00 120.00
Space group P-3m1 (No. 164)
Inequivalent atoms, fractional coordinates:
Na 0.0000 0.0000 0.0000 (multiplicity 1)
Br 0.3333 0.6667 0.1401 (multiplicity 2)
Br 0.3333 0.6667 0.3919 (multiplicity 2)

As for the total magnetization: 0.00 μB per cell. The density of states at the Fermi level comes out at 3.615 states/eV/cell. For the theoretical density, the calculation gives 3.2 g/cm³.

***

Stability order, top to bottom: b, a